Record 1
# BaHfCo2 (GGA-PBE, optimized geometry)
# * energy above the most stable polymorph in this dataset: 0.0723 eV/atom
# * calculated formation energy: 0.6940 eV/atom
data_BaHfCo2
_chemical_formula_sum 'Ba4 Hf4 Co8'
_symmetry_space_group_name_H-M 'P 1'
_symmetry_Int_Tables_number 1
_cell_length_a 7.2497
_cell_length_b 7.2497
_cell_length_c 6.6189
_cell_angle_alpha 90.00
_cell_angle_beta 90.00
_cell_angle_gamma 90.00
loop_
_symmetry_equiv_pos_as_xyz
'x,y,z'
loop_
_atom_site_label
_atom_site_fract_x
_atom_site_fract_y
_atom_site_fract_z
_atom_site_occupancy
Ba1 0.0000 0.0000 0.0000 1
Ba2 0.0000 0.5000 0.2500 1
Ba3 0.5000 0.0000 0.7500 1
Ba4 0.5000 0.5000 0.5000 1
Hf1 0.0000 0.0000 0.5000 1
Hf2 0.0000 0.5000 0.7500 1
Hf3 0.5000 0.0000 0.2500 1
Hf4 0.5000 0.5000 0.0000 1
Co1 0.2031 0.2500 0.6250 1
Co2 0.2500 0.7031 0.8750 1
Co3 0.2500 0.7969 0.3750 1
Co4 0.2969 0.2500 0.1250 1
Co5 0.7031 0.7500 0.1250 1
Co6 0.7500 0.2031 0.3750 1
Co7 0.7500 0.2969 0.8750 1
Co8 0.7969 0.7500 0.6250 1

Record 2
# CsLiPbSe2 (GGA-PBE, optimized geometry)
# * formation energy without anion corrections: -0.950 eV/atom
data_CsLiPbSe2
_chemical_formula_sum 'Cs2 Li2 Pb2 Se4'
_symmetry_space_group_name_H-M 'P 1'
_symmetry_Int_Tables_number 1
_cell_length_a 8.2186
_cell_length_b 8.2186
_cell_length_c 10.0063
_cell_angle_alpha 92.70
_cell_angle_beta 92.70
_cell_angle_gamma 32.35
loop_
_symmetry_equiv_pos_as_xyz
'x,y,z'
loop_
_atom_site_label
_atom_site_fract_x
_atom_site_fract_y
_atom_site_fract_z
_atom_site_occupancy
Cs1 0.1668 0.1668 0.1773 1
Cs2 0.8332 0.8332 0.8227 1
Li1 0.1934 0.1934 0.5620 1
Li2 0.8066 0.8066 0.4380 1
Pb1 0.4425 0.4425 0.3002 1
Pb2 0.5575 0.5575 0.6998 1
Se1 0.1513 0.1513 0.8128 1
Se2 0.3598 0.3598 0.5404 1
Se3 0.6402 0.6402 0.4596 1
Se4 0.8487 0.8487 0.1872 1

Record 3
# Na2SmNpS4 (GGA-PBE, optimized geometry)
# * formation energy without anion corrections: -1.572 eV/atom
data_Na2SmNpS4
_chemical_formula_sum 'Na2 Sm1 Np1 S4'
_symmetry_space_group_name_H-M 'P 1'
_symmetry_Int_Tables_number 1
_cell_length_a 7.0238
_cell_length_b 4.0572
_cell_length_c 7.0829
_cell_angle_alpha 90.00
_cell_angle_beta 109.49
_cell_angle_gamma 90.00
loop_
_symmetry_equiv_pos_as_xyz
'x,y,z'
loop_
_atom_site_label
_atom_site_fract_x
_atom_site_fract_y
_atom_site_fract_z
_atom_site_occupancy
Na1 0.0000 0.0000 0.0000 1
Na2 0.5000 0.5000 0.0000 1
Sm1 0.0000 0.5000 0.5000 1
Np1 0.5000 0.0000 0.5000 1
S1 0.2463 0.0000 0.7317 1
S2 0.2612 0.5000 0.2729 1
S3 0.7388 0.5000 0.7271 1
S4 0.7537 0.0000 0.2683 1

Record 4
# TlSi3Ir (GGA-PBE, optimized geometry)
# * formation energy without anion corrections: 0.392 eV/atom
# * energy above the most stable polymorph in this dataset: 0.0000 eV/atom
data_TlSi3Ir
_chemical_formula_sum 'Tl1 Si3 Ir1'
_symmetry_space_group_name_H-M 'P 1'
_symmetry_Int_Tables_number 1
_cell_length_a 4.7434
_cell_length_b 4.7434
_cell_length_c 4.7434
_cell_angle_alpha 90.00
_cell_angle_beta 90.00
_cell_angle_gamma 90.00
loop_
_symmetry_equiv_pos_as_xyz
'x,y,z'
loop_
_atom_site_label
_atom_site_fract_x
_atom_site_fract_y
_atom_site_fract_z
_atom_site_occupancy
Tl1 0.0000 0.0000 0.0000 1
Si1 0.0000 0.5000 0.5000 1
Si2 0.5000 0.0000 0.5000 1
Si3 0.5000 0.5000 0.0000 1
Ir1 0.5000 0.5000 0.5000 1

Record 5
# GdScCdPt (GGA-PBE, optimized geometry)
# * calculated formation energy: -0.6707 eV/atom
data_GdScCdPt
_chemical_formula_sum 'Gd4 Sc4 Cd4 Pt4'
_symmetry_space_group_name_H-M 'P 1'
_symmetry_Int_Tables_number 1
_cell_length_a 7.0610
_cell_length_b 7.0610
_cell_length_c 7.0610
_cell_angle_alpha 90.00
_cell_angle_beta 90.00
_cell_angle_gamma 90.00
loop_
_symmetry_equiv_pos_as_xyz
'x,y,z'
loop_
_atom_site_label
_atom_site_fract_x
_atom_site_fract_y
_atom_site_fract_z
_atom_site_occupancy
Gd1 0.0000 0.0000 0.0000 1
Gd2 0.0000 0.5000 0.5000 1
Gd3 0.5000 0.0000 0.5000 1
Gd4 0.5000 0.5000 0.0000 1
Sc1 0.0000 0.0000 0.5000 1
Sc2 0.0000 0.5000 0.0000 1
Sc3 0.5000 0.0000 0.0000 1
Sc4 0.5000 0.5000 0.5000 1
Cd1 0.2500 0.2500 0.7500 1
Cd2 0.2500 0.7500 0.2500 1
Cd3 0.7500 0.2500 0.2500 1
Cd4 0.7500 0.7500 0.7500 1
Pt1 0.2500 0.2500 0.2500 1
Pt2 0.2500 0.7500 0.7500 1
Pt3 0.7500 0.2500 0.7500 1
Pt4 0.7500 0.7500 0.2500 1

Record 6
# UFeNiRu (GGA-PBE, optimized geometry)
# * energy above the most stable polymorph in this dataset: 0.3241 eV/atom
# * calculated formation energy: 0.0623 eV/atom
data_UFeNiRu
_chemical_formula_sum 'U4 Fe4 Ni4 Ru4'
_symmetry_space_group_name_H-M 'P 1'
_symmetry_Int_Tables_number 1
_cell_length_a 6.1894
_cell_length_b 6.1894
_cell_length_c 6.1894
_cell_angle_alpha 90.00
_cell_angle_beta 90.00
_cell_angle_gamma 90.00
loop_
_symmetry_equiv_pos_as_xyz
'x,y,z'
loop_
_atom_site_label
_atom_site_fract_x
_atom_site_fract_y
_atom_site_fract_z
_atom_site_occupancy
U1 0.0000 0.0000 0.0000 1
U2 0.0000 0.5000 0.5000 1
U3 0.5000 0.0000 0.5000 1
U4 0.5000 0.5000 0.0000 1
Fe1 0.2500 0.2500 0.2500 1
Fe2 0.2500 0.7500 0.7500 1
Fe3 0.7500 0.2500 0.7500 1
Fe4 0.7500 0.7500 0.2500 1
Ni1 0.0000 0.0000 0.5000 1
Ni2 0.0000 0.5000 0.0000 1
Ni3 0.5000 0.0000 0.0000 1
Ni4 0.5000 0.5000 0.5000 1
Ru1 0.2500 0.2500 0.7500 1
Ru2 0.2500 0.7500 0.2500 1
Ru3 0.7500 0.2500 0.2500 1
Ru4 0.7500 0.7500 0.7500 1

Record 7
# FeBBr2 (GGA-PBE, optimized geometry)
# * formation energy without anion corrections: 1.112 eV/atom
# * energy above the most stable polymorph in this dataset: 0.1006 eV/atom
data_FeBBr2
_chemical_formula_sum 'Fe3 B3 Br6'
_symmetry_space_group_name_H-M 'P 1'
_symmetry_Int_Tables_number 1
_cell_length_a 3.6036
_cell_length_b 3.6036
_cell_length_c 23.6423
_cell_angle_alpha 90.00
_cell_angle_beta 90.00
_cell_angle_gamma 120.00
loop_
_symmetry_equiv_pos_as_xyz
'x,y,z'
loop_
_atom_site_label
_atom_site_fract_x
_atom_site_fract_y
_atom_site_fract_z
_atom_site_occupancy
Fe1 0.0000 0.0000 0.0000 1
Fe2 0.3333 0.6667 0.6667 1
Fe3 0.6667 0.3333 0.3333 1
B1 0.0000 0.0000 0.5000 1
B2 0.3333 0.6667 0.1667 1
B3 0.6667 0.3333 0.8333 1
Br1 0.0000 0.0000 0.0983 1
Br2 0.0000 0.0000 0.9017 1
Br3 0.3333 0.6667 0.5683 1
Br4 0.3333 0.6667 0.7650 1
Br5 0.6667 0.3333 0.2350 1
Br6 0.6667 0.3333 0.4317 1

Record 8
# K2LiCa (GGA-PBE, optimized geometry)
# * energy above the most stable polymorph in this dataset: 0.1736 eV/atom
# * calculated formation energy: 0.2813 eV/atom
data_K2LiCa
_chemical_formula_sum 'K8 Li4 Ca4'
_symmetry_space_group_name_H-M 'P 1'
_symmetry_Int_Tables_number 1
_cell_length_a 10.5341
_cell_length_b 10.5341
_cell_length_c 7.3345
_cell_angle_alpha 90.00
_cell_angle_beta 90.00
_cell_angle_gamma 90.00
loop_
_symmetry_equiv_pos_as_xyz
'x,y,z'
loop_
_atom_site_label
_atom_site_fract_x
_atom_site_fract_y
_atom_site_fract_z
_atom_site_occupancy
K1 0.2018 0.2500 0.1250 1
K2 0.2500 0.7018 0.3750 1
K3 0.2500 0.7982 0.8750 1
K4 0.2982 0.2500 0.6250 1
K5 0.7018 0.7500 0.6250 1
K6 0.7500 0.2018 0.8750 1
K7 0.7500 0.2982 0.3750 1
K8 0.7982 0.7500 0.1250 1
Li1 0.0000 0.0000 0.0000 1
Li2 0.0000 0.5000 0.2500 1
Li3 0.5000 0.0000 0.7500 1
Li4 0.5000 0.5000 0.5000 1
Ca1 0.0000 0.0000 0.5000 1
Ca2 0.0000 0.5000 0.7500 1
Ca3 0.5000 0.0000 0.2500 1
Ca4 0.5000 0.5000 0.0000 1

Record 9
# Ba2NaI2 (GGA-PBE, optimized geometry)
# * formation energy without anion corrections: -0.964 eV/atom
# * energy above the most stable polymorph in this dataset: 0.0000 eV/atom
data_Ba2NaI2
_chemical_formula_sum 'Ba4 Na2 I4'
_symmetry_space_group_name_H-M 'P 1'
_symmetry_Int_Tables_number 1
_cell_length_a 9.8726
_cell_length_b 9.8726
_cell_length_c 4.3581
_cell_angle_alpha 90.00
_cell_angle_beta 90.00
_cell_angle_gamma 90.00
loop_
_symmetry_equiv_pos_as_xyz
'x,y,z'
loop_
_atom_site_label
_atom_site_fract_x
_atom_site_fract_y
_atom_site_fract_z
_atom_site_occupancy
Ba1 0.1636 0.3364 0.0000 1
Ba2 0.3364 0.8364 0.0000 1
Ba3 0.6636 0.1636 0.0000 1
Ba4 0.8364 0.6636 0.0000 1
Na1 0.0000 0.0000 0.5000 1
Na2 0.5000 0.5000 0.5000 1
I1 0.1344 0.6344 0.5000 1
I2 0.3656 0.1344 0.5000 1
I3 0.6344 0.8656 0.5000 1
I4 0.8656 0.3656 0.5000 1

Record 10
# LiPuAu (GGA-PBE, optimized geometry)
# * energy above the most stable polymorph in this dataset: 0.0898 eV/atom
# * calculated formation energy: -0.2444 eV/atom
data_LiPuAu
_chemical_formula_sum 'Li1 Pu1 Au1'
_symmetry_space_group_name_H-M 'P 1'
_symmetry_Int_Tables_number 1
_cell_length_a 4.7693
_cell_length_b 4.7693
_cell_length_c 3.1786
_cell_angle_alpha 90.00
_cell_angle_beta 90.00
_cell_angle_gamma 120.00
loop_
_symmetry_equiv_pos_as_xyz
'x,y,z'
loop_
_atom_site_label
_atom_site_fract_x
_atom_site_fract_y
_atom_site_fract_z
_atom_site_occupancy
Li1 0.0000 0.0000 0.0000 1
Pu1 0.6667 0.3333 0.5000 1
Au1 0.3333 0.6667 0.0000 1

Record 11
# TbNpTc (GGA-PBE, optimized geometry)
# * energy above the most stable polymorph in this dataset: 0.0000 eV/atom
# * calculated formation energy: 0.0390 eV/atom
data_TbNpTc
_chemical_formula_sum 'Tb6 Np6 Tc6'
_symmetry_space_group_name_H-M 'P 1'
_symmetry_Int_Tables_number 1
_cell_length_a 13.0430
_cell_length_b 13.0430
_cell_length_c 13.0430
_cell_angle_alpha 25.77
_cell_angle_beta 25.77
_cell_angle_gamma 25.77
loop_
_symmetry_equiv_pos_as_xyz
'x,y,z'
loop_
_atom_site_label
_atom_site_fract_x
_atom_site_fract_y
_atom_site_fract_z
_atom_site_occupancy
Tb1 0.0480 0.0480 0.0480 1
Tb2 0.1782 0.1782 0.1782 1
Tb3 0.2589 0.2589 0.2589 1
Tb4 0.7411 0.7411 0.7411 1
Tb5 0.8218 0.8218 0.8218 1
Tb6 0.9520 0.9520 0.9520 1
Np1 0.0000 0.5000 0.5000 1
Np2 0.3912 0.3912 0.3912 1
Np3 0.5000 0.0000 0.5000 1
Np4 0.5000 0.5000 0.0000 1
Np5 0.5000 0.5000 0.5000 1
Np6 0.6088 0.6088 0.6088 1
Tc1 0.2297 0.7156 0.7156 1
Tc2 0.2844 0.2844 0.7703 1
Tc3 0.2844 0.7703 0.2844 1
Tc4 0.7156 0.2297 0.7156 1
Tc5 0.7156 0.7156 0.2297 1
Tc6 0.7703 0.2844 0.2844 1

Record 12
# GdTe2Rh (GGA-PBE, optimized geometry)
# * formation energy without anion corrections: -0.317 eV/atom
data_GdTe2Rh
_chemical_formula_sum 'Gd3 Te6 Rh3'
_symmetry_space_group_name_H-M 'P 1'
_symmetry_Int_Tables_number 1
_cell_length_a 3.9606
_cell_length_b 3.9606
_cell_length_c 26.8314
_cell_angle_alpha 90.00
_cell_angle_beta 90.00
_cell_angle_gamma 120.00
loop_
_symmetry_equiv_pos_as_xyz
'x,y,z'
loop_
_atom_site_label
_atom_site_fract_x
_atom_site_fract_y
_atom_site_fract_z
_atom_site_occupancy
Gd1 0.0000 0.0000 0.0000 1
Gd2 0.3333 0.6667 0.6667 1
Gd3 0.6667 0.3333 0.3333 1
Te1 0.0000 0.0000 0.1149 1
Te2 0.0000 0.0000 0.8851 1
Te3 0.3333 0.6667 0.5518 1
Te4 0.3333 0.6667 0.7816 1
Te5 0.6667 0.3333 0.2184 1
Te6 0.6667 0.3333 0.4482 1
Rh1 0.0000 0.0000 0.5000 1
Rh2 0.3333 0.6667 0.1667 1
Rh3 0.6667 0.3333 0.8333 1